InBiSb2Te | meta-GGA SCAN | PBEsol geometry

Unit cell a=5.790 b=5.790 c=5.852 alpha=90.00 beta=90.00 gamma=90.00
Space group P4/mmm (No. 123)
Asymmetric unit:
In1 0.000 0.000 0.000 x1
Bi1 0.500 0.500 0.500 x1
Sb1 0.000 0.500 0.500 x2
Te1 0.500 0.500 0.000 x1

Values from the calculation:
Density of states at the Fermi level (states/eV/f.u.): 4.68
E_form (uncorrected) (eV/atom): 0.719

***

BeCdP | meta-GGA SCAN | PBEsol geometry

Unit cell a=3.6223 b=3.6223 c=4.2929 alpha=90.00 beta=90.00 gamma=120.00
Space group P3m1 (No. 156)
Asymmetric unit:
Be1 0.0000 0.0000 0.0000 x1
Cd1 0.3333 0.6667 0.5013 x1
P1 0.6667 0.3333 0.0020 x1

Values from the calculation:
Density of states at the Fermi level (states/eV/f.u.): 0.48
Formation energy (meV per atom): -24
Excess energy over the best structure of this formula in the dataset (meV/atom): 0.0

***

NaPr2Cl6 | meta-GGA SCAN | PBEsol geometry

Unit cell a=7.875 b=3.842 c=15.761 alpha=90.00 beta=119.97 gamma=90.00
Space group P2_1/c (No. 14)
Asymmetric unit:
Na1 0.000 0.000 0.000 x2
Pr1 0.333 0.250 0.333 x4
Cl1 0.077 0.750 0.190 x4
Cl2 0.302 0.749 0.962 x4
Cl3 0.379 0.250 0.151 x4

Values from the calculation:
Density of states at the Fermi level (states/eV/f.u.): 1.85
E_form (uncorrected) (eV/atom): -2.338

***

Hf3NbN | meta-GGA SCAN | PBEsol geometry

Unit cell a=4.404 b=4.404 c=4.404 alpha=90.00 beta=90.00 gamma=90.00
Space group Pm-3m (No. 221)
Asymmetric unit:
Hf1 0.000 0.000 0.500 x3
Nb1 0.500 0.500 0.500 x1
N1 0.000 0.000 0.000 x1

Values from the calculation:
Density of states at the Fermi level (states/eV/f.u.): 2.41
E_form (uncorrected) (eV/atom): -0.828

***

- What is the density of states at the Fermi level in the fourth record?
  2.41 states/eV/f.u.

***

What did the third record say?
NaPr2Cl6 | meta-GGA SCAN | PBEsol geometry

Unit cell a=7.875 b=3.842 c=15.761 alpha=90.00 beta=119.97 gamma=90.00
Space group P2_1/c (No. 14)
Asymmetric unit:
Na1 0.000 0.000 0.000 x2
Pr1 0.333 0.250 0.333 x4
Cl1 0.077 0.750 0.190 x4
Cl2 0.302 0.749 0.962 x4
Cl3 0.379 0.250 0.151 x4

Values from the calculation:
Density of states at the Fermi level (states/eV/f.u.): 1.85
E_form (uncorrected) (eV/atom): -2.338

***

- The lowest density of states at the Fermi level belongs to which entry?
  BeCdP